A | Entry from OQMD via LeMat-Bulk: a relaxed structure of TbInAg3Se4 (GGA-PBE).

a = 6.3769 Å, b = 6.3769 Å, c = 6.3769 Å
α = 90.00°, β = 90.00°, γ = 90.00°
With the nearest neighbours (Å) after each atom.
Space group P-43m (No. 215)
One atom of each set of equivalent atoms:
Tb: 0.0000 0.0000 0.0000 (multiplicity 1)  4 Se 2.73
In: 0.5000 0.5000 0.5000 (multiplicity 1)  4 Se 2.79
Ag: 0.0000 0.0000 0.5000 (multiplicity 3)  4 Se 2.75
Se: 0.2475 0.2475 0.7525 (multiplicity 4)  1 Tb 2.73, 3 Ag 2.75, 1 In 2.79

Computed properties:
Magnetic moment: 0.01 μB per formula unit

---

B | Entry from OQMD via LeMat-Bulk: a relaxed structure of TbInAg3Se4 (GGA-PBE).

a = 6.2633 Å, b = 7.6018 Å, c = 10.3904 Å
α = 90.00°, β = 105.99°, γ = 90.00°
With the nearest neighbours (Å) after each atom.
Space group P2_1/m (No. 11)
One atom of each set of equivalent atoms:
Tb: 0.0926 0.2500 0.2998 (multiplicity 2)  4 Se 2.74-2.85
In: 0.1955 0.2500 0.9123 (multiplicity 2)  1 Ag 3.13, 2 Se 3.18-3.43
Ag: 0.2979 0.5581 0.5358 (multiplicity 4)  4 Se 2.62-2.89, 1 Ag 2.92
Ag: 0.4624 0.7500 0.8043 (multiplicity 2)  3 Se 2.53-2.63
Se: 0.0634 0.2500 0.5692 (multiplicity 2)  4 Ag 2.66-2.84, 1 Tb 2.85
Se: 0.1996 0.7500 0.9509 (multiplicity 2)  1 Ag 2.53, 1 Tb 2.74
Se: 0.3527 0.5293 0.2698 (multiplicity 4)  3 Ag 2.62-2.89, 1 Tb 2.75

Computed properties:
Magnetic moment: 0.03 μB per formula unit

---

Which is the most stable structure? A is the most stable.

---

A | Entry from OQMD via LeMat-Bulk: a relaxed structure of InAg3SnTe4 (GGA-PBE).

a = 6.6835 Å, b = 8.2483 Å, c = 10.3350 Å
α = 90.00°, β = 103.56°, γ = 90.00°
With the nearest neighbours (Å) after each atom.
Space group P2_1/m (No. 11)
One atom of each set of equivalent atoms:
In: 0.2064 0.2500 0.0498 (multiplicity 2)  1 Ag 3.24, 4 Te 3.42-3.59
Ag: 0.2167 0.0561 0.5237 (multiplicity 4)  4 Te 2.82-3.06, 2 Ag 2.91-2.97
Ag: 0.3284 0.2500 0.7647 (multiplicity 2)  3 Te 2.75-2.86, 2 Ag 2.91
Sn: 0.2250 0.7500 0.2859 (multiplicity 2)  4 Te 2.82-2.90, 1 Ag 3.15
Te: 0.0513 0.5182 0.7444 (multiplicity 4)  3 Ag 2.83-2.94, 1 Sn 2.85
Te: 0.3195 0.7500 0.0338 (multiplicity 2)  1 Ag 2.75, 1 Sn 2.82
Te: 0.4835 0.7500 0.5534 (multiplicity 2)  4 Ag 2.82-3.06, 1 Sn 2.90

---

B | Entry from OQMD via LeMat-Bulk: a relaxed structure of InAg3SnTe4 (GGA-PBE).

a = 6.6784 Å, b = 6.6784 Å, c = 6.6784 Å
α = 90.00°, β = 90.00°, γ = 90.00°
With the nearest neighbours (Å) after each atom.
Space group P-43m (No. 215)
One atom of each set of equivalent atoms:
In: 0.0000 0.0000 0.0000 (multiplicity 1)  4 Te 2.83
Ag: 0.0000 0.5000 0.5000 (multiplicity 3)  4 Te 2.91
Sn: 0.5000 0.5000 0.5000 (multiplicity 1)  4 Te 2.95
Te: 0.2448 0.2448 0.2448 (multiplicity 4)  1 In 2.83, 3 Ag 2.91, 1 Sn 2.95

---

Which is the most stable structure? B is the most stable.

---

A | Entry from OQMD via LeMat-Bulk: a relaxed structure of In2AgTe2 (GGA-PBE).

a = 5.1187 Å, b = 5.1187 Å, c = 13.1273 Å
α = 90.00°, β = 90.00°, γ = 90.00°
With the nearest neighbours (Å) after each atom.
Space group I4/mmm (No. 139)
One atom of each set of equivalent atoms:
In: 0.0000 0.5000 0.2500 (multiplicity 4)  4 Te 3.00
Ag: 0.0000 0.0000 0.0000 (multiplicity 2)  8 Te 4.01, 8 In 4.16
Te: 0.0000 0.0000 0.3688 (multiplicity 4)  4 In 3.00

---

B | Entry from OQMD via LeMat-Bulk: a relaxed structure of In2AgTe2 (GGA-PBE).

a = 5.6389 Å, b = 5.6389 Å, c = 8.9553 Å
α = 90.00°, β = 90.00°, γ = 90.00°
With the nearest neighbours (Å) after each atom.
Space group I4/mmm (No. 139)
One atom of each set of equivalent atoms:
In: 0.0000 0.0000 0.1560 (multiplicity 4)  1 In 2.79, 4 Te 2.94, 1 Ag 3.08
Ag: 0.0000 0.0000 0.5000 (multiplicity 2)  2 In 3.08
Te: 0.0000 0.5000 0.2500 (multiplicity 4)  4 In 2.94

---

Which is the most stable structure? B is the most stable.

---

A | Entry from OQMD via LeMat-Bulk: a relaxed structure of ZrInAgTe3 (GGA-PBE).

a = 4.1071 Å, b = 15.1760 Å, c = 10.9330 Å
α = 90.00°, β = 90.00°, γ = 90.00°
With the nearest neighbours (Å) after each atom.
Space group Cmcm (No. 63)
One atom of each set of equivalent atoms:
Zr: 0.0000 0.0000 0.0000 (multiplicity 4)  6 Te 2.97-3.01
In: 0.0000 0.2364 0.2500 (multiplicity 4)  8 Te 3.42-3.69, 2 Ag 3.63
Ag: 0.0000 0.4609 0.7500 (multiplicity 4)  4 Te 2.75-2.77
Te: 0.0000 0.0835 0.7500 (multiplicity 4)  2 Ag 2.77, 2 Zr 3.01
Te: 0.0000 0.3615 0.5395 (multiplicity 8)  1 Ag 2.75, 2 Zr 2.97

Computed properties:
Magnetic moment: 0.00 μB per formula unit

---

B | Entry from OQMD via LeMat-Bulk: a relaxed structure of ZrInAgTe3 (GGA-PBE).

a = 13.2402 Å, b = 4.1955 Å, c = 12.6362 Å
α = 90.00°, β = 90.00°, γ = 90.00°
With the nearest neighbours (Å) after each atom.
Space group Pnma (No. 62)
One atom of each set of equivalent atoms:
Zr: 0.0446 0.2500 0.1728 (multiplicity 4)  6 Te 2.79-3.09
In: 0.1802 0.2500 0.4870 (multiplicity 4)  2 Ag 3.06, 3 Te 3.21-3.42
Ag: 0.2278 0.7500 0.3181 (multiplicity 4)  4 Te 2.83-2.89, 2 In 3.06
Te: 0.0148 0.7500 0.3361 (multiplicity 4)  1 Ag 2.83, 2 Zr 2.97
Te: 0.0828 0.2500 0.9317 (multiplicity 4)  1 Ag 2.89, 3 Zr 3.00-3.09
Te: 0.2448 0.7500 0.6672 (multiplicity 4)  1 Zr 2.79, 2 Ag 2.86

Computed properties:
Magnetic moment: 0.00 μB per formula unit

---

Which is the most stable structure? A is the most stable.